KLiMo2 | the Alexandria database | PBE | relaxed; ΔE to the lowest computed polymorph = 192.6 meV per atom; energy of formation from the pure elements = 0.8348 eV/atom; mass density = 4.4 Mg/m³; Fermi-level density of states = 0.900 states/eV/atom
1.0
4.438 -1.316 0.000
4.438 1.316 0.000
-0.004 0.000 7.735
K Li Mo
1 1 2
direct
0.000 0.000 0.000
0.252 0.252 0.654
0.509 0.509 0.478
0.752 0.752 0.327